1.
Here is a geometry-optimized KCaRu2O8 structure from the Alexandria database. Energies are from PBE-GGA.

Lattice parameters (Å, degrees): 5.9743 5.9743 7.7194 90.00 90.00 120.00
With the nearest neighbours (Å) after each atom.
Fractional positions:
O 0.6667 0.3333 0.0013  1 Ru 1.75
O 0.8329 0.6580 0.3032  1 Ru 1.78
O 0.1749 0.8329 0.6968  1 Ru 1.78
O 0.1671 0.3420 0.6968  1 Ru 1.78
Ru 0.6667 0.3333 0.2281  4 O 1.75-1.78
K 0.0000 0.0000 0.0000  6 O 2.93
O 0.3333 0.6667 0.9987  1 Ru 1.75
Ru 0.3333 0.6667 0.7719  4 O 1.75-1.78
O 0.6580 0.8251 0.6968  1 Ru 1.78
O 0.8251 0.1671 0.3032  1 Ru 1.78
Ca 0.0000 0.0000 0.5000  6 O 2.33
O 0.3420 0.1749 0.3032  1 Ru 1.78

## Properties
Space-group type: No. 147
Calculated total energy in eV per cell: -77.30
ρ in g cm⁻³: 2.85
Formation energy without anion corrections in eV per atom: -1.332

2.
Here is a geometry-optimized K3Ca3RuO8 structure from the Alexandria database. Energies are from PBE-GGA.

Lattice parameters (Å, degrees): 6.8267 6.8270 7.3770 117.57 90.00 120.00
With the nearest neighbours (Å) after each atom.
Fractional positions:
O 0.2150 0.0204 0.3259  1 Ru 1.95
K 0.0000 0.5000 0.0000  6 O 2.73-2.77
O 0.2709 0.5419 0.3129  3 Ca 2.29
O 0.8054 0.6109 0.3259  1 Ru 1.95
O 0.7291 0.4581 0.6871  3 Ca 2.29
K 0.5000 0.5000 0.0000  6 O 2.73-2.77
O 0.8054 0.0204 0.3259  1 Ru 1.95
Ru 0.0000 0.0000 0.5000  6 O 1.95
Ca 0.5000 0.0000 0.5000  6 O 2.29-2.43
O 0.7850 0.9796 0.6741  1 Ru 1.95
O 0.1946 0.9796 0.6741  1 Ru 1.95
K 0.0000 0.0000 0.0000  6 O 2.73-2.77
Ca 0.5000 0.5000 0.5000  6 O 2.29-2.43
Ca 0.0000 0.5000 0.5000  6 O 2.29-2.43
O 0.1946 0.3891 0.6741  1 Ru 1.95

## Properties
Space-group type: No. 166
Calculated total energy in eV per cell: -86.29
ρ in g cm⁻³: 3.08
Formation energy without anion corrections in eV per atom: -1.870

3.
Here is a geometry-optimized K2Ca2RuO6 structure from the Alexandria database. Energies are from PBE-GGA.

Lattice parameters (Å, degrees): 5.7153 5.7153 6.5350 98.50 98.50 118.50
With the nearest neighbours (Å) after each atom.
Fractional positions:
O 0.2220 0.2220 0.3218  1 Ru 1.98
Ru 0.0000 0.0000 0.5000  6 O 1.97-1.98
Ca 0.3366 0.6634 0.5000  6 O 2.33-2.38
O 0.7780 0.7780 0.6782  1 Ru 1.98
O 0.6581 0.9471 0.3248  1 Ru 1.97
O 0.0529 0.3419 0.6752  1 Ru 1.97
O 0.3419 0.0529 0.6752  1 Ru 1.97
K 0.1678 0.8322 0.0000  6 O 2.69-2.98
Ca 0.6634 0.3366 0.5000  6 O 2.33-2.38
K 0.8322 0.1678 0.0000  6 O 2.69-2.98
O 0.9471 0.6581 0.3248  1 Ru 1.97

## Properties
Space-group type: No. 12
Calculated total energy in eV per cell: -65.40
ρ in g cm⁻³: 3.29
Formation energy without anion corrections in eV per atom: -1.835

4.
Here is a geometry-optimized K2CaRuO6 structure from the Alexandria database. Energies are from PBE-GGA.

Lattice parameters (Å, degrees): 5.8483 6.1558 6.1558 120.00 90.00 90.00
With the nearest neighbours (Å) after each atom.
Fractional positions:
O 0.1930 0.2844 0.1422  1 Ru 1.89
O 0.1930 0.8578 0.7156  1 Ru 1.89
K 0.1186 0.3333 0.6667  3 O 2.73
O 0.8070 0.1422 0.8578  1 Ru 1.89
Ru 0.0000 0.0000 0.0000  6 O 1.89
O 0.1930 0.8578 0.1422  1 Ru 1.89
O 0.8070 0.1422 0.2844  1 Ru 1.89
O 0.8070 0.7156 0.8578  1 Ru 1.89
K 0.8814 0.6667 0.3333  3 O 2.73
Ca 0.5000 0.0000 0.0000  6 O 2.35

## Properties
Space-group type: No. 164
Calculated total energy in eV per cell: -56.54
ρ in g cm⁻³: 2.73
Formation energy without anion corrections in eV per atom: -1.331

5.
Here is a geometry-optimized K2Ca5S6O25 structure from the Alexandria database. Energies are from PBE-GGA.

Lattice parameters (Å, degrees): 6.9589 9.5179 17.4390 80.21 78.49 68.56
With the nearest neighbours (Å) after each atom.
Fractional positions:
O 0.3232 0.1681 0.1250  1 S 1.50
O 0.6732 0.0760 0.6627  1 S 1.49
K 0.0423 0.0508 0.0872  8 O 2.80-3.08
O 0.7685 0.8568 0.3288  1 S 1.50
S 0.6776 0.4645 0.3808  4 O 1.48-1.50
O 0.3837 0.6681 0.6250  1 S 1.50
Ca 0.0963 0.3599 0.2062  8 O 2.39-2.63
O 0.9780 0.8792 0.7123  1 S 1.49
Ca 0.6625 0.1401 0.2938  8 O 2.39-2.63
O 0.7594 0.4352 0.4564  1 S 1.48
Ca 0.4368 0.3171 0.9824  7 O 2.42-2.58
O 0.6511 0.0648 0.0436  1 S 1.48
O 0.9541 0.6432 0.1712  1 S 1.50
O 0.7072 0.0182 0.4276  1 S 1.50
O 0.5696 0.6208 0.7877  1 S 1.49
O 0.1530 0.4818 0.0724  1 S 1.50
O 0.5881 0.5760 0.1627  1 S 1.49
O 0.0721 0.0866 0.4269  1 S 1.48
O 0.2315 0.1432 0.6712  1 S 1.50
Ca 0.2637 0.8171 0.4824  7 O 2.42-2.58
K 0.1803 0.4492 0.4128  8 O 2.80-3.08
O 0.6388 0.0174 0.1862  1 S 1.50
O 0.6768 0.8319 0.8750  1 S 1.50
Ca 0.5632 0.6829 0.0176  7 O 2.42-2.58
O 0.5247 0.1064 0.8762  1 S 1.49
O 0.8470 0.5182 0.9276  1 S 1.50
O 0.6163 0.3319 0.3750  1 S 1.50
O 0.8013 0.3058 0.1780  1 S 1.50
S 0.4771 0.9645 0.8808  4 O 1.48-1.50
K 0.9577 0.9492 0.9128  8 O 2.80-3.08
O 0.4144 0.5866 0.9269  1 S 1.48
Ca 0.3375 0.8599 0.7062  8 O 2.39-2.63
S 0.2238 0.1461 0.5854  4 O 1.48-1.50
Ca 0.6251 0.7500 0.2500  9 O 2.38-2.63
O 0.1210 0.2817 0.9650  1 S 1.48
S 0.0448 0.6461 0.0854  4 O 1.48-1.50
O 0.0459 0.3568 0.8288  1 S 1.50
O 0.3678 0.2183 0.5350  1 S 1.48
O 0.1987 0.6942 0.8220  1 S 1.50
O 0.8790 0.7183 0.0350  1 S 1.48
O 0.3489 0.9352 0.9564  1 S 1.48
S 0.5985 0.4195 0.1562  4 O 1.48-1.50
Ca 0.7363 0.1829 0.5176  7 O 2.42-2.58
Ca 0.3749 0.2500 0.7500  9 O 2.38-2.63
S 0.7762 0.8539 0.4146  4 O 1.48-1.50
S 0.3224 0.5355 0.6192  4 O 1.48-1.50
O 0.5073 0.3936 0.6238  1 S 1.49
O 0.4927 0.6064 0.3762  1 S 1.49
S 0.8258 0.9195 0.6562  4 O 1.48-1.50
O 0.9279 0.9134 0.5731  1 S 1.48
O 0.4119 0.4240 0.8373  1 S 1.49
O 0.6322 0.7817 0.4650  1 S 1.48
O 0.0220 0.1208 0.2877  1 S 1.49
O 0.1576 0.5174 0.6862  1 S 1.50
O 0.2406 0.5648 0.5436  1 S 1.48
O 0.7149 0.8058 0.6780  1 S 1.50
S 0.4015 0.5805 0.8438  4 O 1.48-1.50
O 0.2767 0.7500 0.2500  1 Ca 2.42, 2 O 2.58
O 0.0081 0.2305 0.5689  1 S 1.48
O 0.3268 0.9240 0.3373  1 S 1.49
O 0.1926 0.7305 0.0689  1 S 1.48
Ca 0.9037 0.6401 0.7938  8 O 2.39-2.63
O 0.3612 0.9826 0.8138  1 S 1.50
O 0.9919 0.7695 0.4311  1 S 1.48
S 0.1742 0.0805 0.3438  4 O 1.48-1.50
O 0.5856 0.4134 0.0731  1 S 1.48
O 0.2928 0.9818 0.5724  1 S 1.50
K 0.8197 0.5508 0.5872  8 O 2.80-3.08
S 0.5229 0.0355 0.1192  4 O 1.48-1.50
O 0.2851 0.1942 0.3220  1 S 1.50
O 0.8424 0.4826 0.3138  1 S 1.50
O 0.8074 0.2695 0.9311  1 S 1.48
O 0.4753 0.8936 0.1238  1 S 1.49
O 0.7233 0.2500 0.7500  1 Ca 2.42, 2 O 2.58
O 0.4304 0.3792 0.2123  1 S 1.49
S 0.9552 0.3539 0.9146  4 O 1.48-1.50

## Properties
Space-group type: No. 15
Calculated total energy in eV per cell: -474.52
ρ in g cm⁻³: 2.76
Formation energy without anion corrections in eV per atom: -2.009

6.
Here is a geometry-optimized K2Ca2S3O12 structure from the Alexandria database. Energies are from PBE-GGA.

Lattice parameters (Å, degrees): 10.6343 10.6343 10.6343 90.00 90.00 90.00
With the nearest neighbours (Å) after each atom.
Fractional positions:
K 0.1856 0.3144 0.6856  6 O 2.90-3.05
O 0.9169 0.2253 0.4799  1 S 1.48
O 0.7190 0.4623 0.1785  1 S 1.49
O 0.1345 0.2682 0.4220  1 S 1.49
O 0.6785 0.7810 0.5377  1 S 1.49
O 0.7810 0.5377 0.6785  1 S 1.49
S 0.2714 0.6254 0.5086  4 O 1.48-1.49
O 0.9623 0.3215 0.2810  1 S 1.49
S 0.0086 0.2286 0.3746  4 O 1.48-1.49
O 0.0780 0.8655 0.7682  1 S 1.49
Ca 0.0891 0.9109 0.4109  6 O 2.32-2.39
O 0.5173 0.3987 0.6840  1 S 1.49
O 0.2253 0.4799 0.9169  1 S 1.48
S 0.9914 0.7286 0.1254  4 O 1.48-1.49
O 0.3215 0.2810 0.9623  1 S 1.49
Ca 0.8290 0.1710 0.6710  6 O 2.31-2.38
O 0.4799 0.9169 0.2253  1 S 1.48
S 0.3746 0.0086 0.2286  4 O 1.48-1.49
O 0.9827 0.6013 0.1840  1 S 1.49
O 0.7318 0.9220 0.3655  1 S 1.49
S 0.7286 0.1254 0.9914  4 O 1.48-1.49
Ca 0.9109 0.4109 0.0891  6 O 2.32-2.39
O 0.8987 0.8160 0.4827  1 S 1.49
K 0.4445 0.9445 0.5555  6 O 2.84-3.04
O 0.3987 0.6840 0.5173  1 S 1.49
K 0.8144 0.8144 0.8144  6 O 2.90-3.05
O 0.3655 0.7318 0.9220  1 S 1.49
O 0.0173 0.1013 0.3160  1 S 1.49
Ca 0.6710 0.8290 0.1710  6 O 2.31-2.38
O 0.9799 0.5831 0.7747  1 S 1.48
Ca 0.1710 0.6710 0.8290  6 O 2.31-2.38
O 0.4623 0.1785 0.7190  1 S 1.49
O 0.7747 0.9799 0.5831  1 S 1.48
O 0.7253 0.0201 0.0831  1 S 1.48
O 0.5377 0.6785 0.7810  1 S 1.49
O 0.1840 0.9827 0.6013  1 S 1.49
O 0.0201 0.0831 0.7253  1 S 1.48
O 0.2810 0.9623 0.3215  1 S 1.49
O 0.3160 0.0173 0.1013  1 S 1.49
O 0.8655 0.7682 0.0780  1 S 1.49
O 0.9220 0.3655 0.7318  1 S 1.49
O 0.4169 0.2747 0.5201  1 S 1.48
O 0.4220 0.1345 0.2682  1 S 1.49
O 0.5780 0.6345 0.2318  1 S 1.49
Ca 0.4109 0.0891 0.9109  6 O 2.32-2.39
K 0.3144 0.6856 0.1856  6 O 2.90-3.05
O 0.6840 0.5173 0.3987  1 S 1.49
K 0.9445 0.5555 0.4445  6 O 2.84-3.04
O 0.1013 0.3160 0.0173  1 S 1.49
O 0.6345 0.2318 0.5780  1 S 1.49
K 0.5555 0.4445 0.9445  6 O 2.84-3.04
S 0.1254 0.9914 0.7286  4 O 1.48-1.49
O 0.2747 0.5201 0.4169  1 S 1.48
O 0.7682 0.0780 0.8655  1 S 1.49
O 0.8215 0.2190 0.0377  1 S 1.49
K 0.6856 0.1856 0.3144  6 O 2.90-3.05
S 0.6254 0.5086 0.2714  4 O 1.48-1.49
Ca 0.5891 0.5891 0.5891  6 O 2.32-2.39
S 0.5086 0.2714 0.6254  4 O 1.48-1.49
O 0.2682 0.4220 0.1345  1 S 1.49
O 0.5201 0.4169 0.2747  1 S 1.48
O 0.4827 0.8987 0.8160  1 S 1.49
S 0.8746 0.4914 0.7714  4 O 1.48-1.49
O 0.6013 0.1840 0.9827  1 S 1.49
O 0.8160 0.4827 0.8987  1 S 1.49
K 0.0555 0.0555 0.0555  6 O 2.84-3.04
Ca 0.3290 0.3290 0.3290  6 O 2.31-2.38
O 0.5831 0.7747 0.9799  1 S 1.48
O 0.0377 0.8215 0.2190  1 S 1.49
O 0.1785 0.7190 0.4623  1 S 1.49
O 0.2190 0.0377 0.8215  1 S 1.49
S 0.7714 0.8746 0.4914  4 O 1.48-1.49
S 0.2286 0.3746 0.0086  4 O 1.48-1.49
S 0.4914 0.7714 0.8746  4 O 1.48-1.49
O 0.2318 0.5780 0.6345  1 S 1.49
O 0.0831 0.7253 0.0201  1 S 1.48

## Properties
Space-group type: No. 198
Calculated total energy in eV per cell: -471.03
ρ in g cm⁻³: 2.47
Formation energy without anion corrections in eV per atom: -2.088

7.
Here is a geometry-optimized KCaS2O6 structure from the Alexandria database. Energies are from PBE-GGA.

Lattice parameters (Å, degrees): 5.5139 5.5139 7.1461 67.31 67.31 60.00
With the nearest neighbours (Å) after each atom.
Fractional positions:
O 0.0376 0.5215 0.7111  1 S 1.52
S 0.2634 0.2634 0.2099  3 O 1.52
O 0.7299 0.0376 0.7111  1 S 1.52
O 0.9624 0.4785 0.2889  1 S 1.52
O 0.2701 0.9624 0.2889  1 S 1.52
K 0.0000 0.0000 0.0000  6 O 2.87
O 0.5215 0.7299 0.7111  1 S 1.52
Ca 0.5000 0.5000 0.5000  6 O 2.38
O 0.4785 0.2701 0.2889  1 S 1.52
S 0.7366 0.7366 0.7901  3 O 1.52

## Properties
Space-group type: No. 148
Calculated total energy in eV per cell: -58.77
ρ in g cm⁻³: 2.36
Formation energy without anion corrections in eV per atom: -1.767

8.
Here is a geometry-optimized K2CaSO6 structure from the Alexandria database. Energies are from PBE-GGA.

Lattice parameters (Å, degrees): 5.7683 6.0982 6.0982 120.00 90.00 90.00
With the nearest neighbours (Å) after each atom.
Fractional positions:
S 0.0000 0.0000 0.0000  6 O 1.67
O 0.1685 0.8718 0.1282  1 S 1.67
O 0.1685 0.2565 0.1282  1 S 1.67
O 0.1685 0.8718 0.7435  1 S 1.67
Ca 0.5000 0.0000 0.0000  6 O 2.34
K 0.8858 0.6667 0.3333  3 O 2.71
K 0.1142 0.3333 0.6667  3 O 2.71
O 0.8315 0.1282 0.2565  1 S 1.67
O 0.8315 0.7435 0.8718  1 S 1.67
O 0.8315 0.1282 0.8718  1 S 1.67

## Properties
Space-group type: No. 164
Calculated total energy in eV per cell: -52.04
ρ in g cm⁻³: 2.20
Formation energy without anion corrections in eV per atom: -1.397